# PBE Dy4TeAs3, relaxed
# E = -5.940 eV per atom
# D(E_F) = 0.243 states/eV per atom
# Energy relative to the elements, uncorrected = -1.503 eV/atom
# Total magnetization = 0.00 μB per atom
data_Dy4TeAs3
_chemical_formula_sum 'Dy4 Te1 As3'
_space_group_name_H-M_alt 'P m m m'
_space_group_IT_number 47
_space_group_name_Hall '-P 2 2'
_cell_length_a 4.160
_cell_length_b 5.923
_cell_length_c 8.387
_cell_angle_alpha 90.00
_cell_angle_beta 90.00
_cell_angle_gamma 90.00
loop_
_atom_site_label
_atom_site_type_symbol
_atom_site_fract_x
_atom_site_fract_y
_atom_site_fract_z
_atom_site_occupancy
Dy1 Dy 0.000 0.000 0.000 1
Dy2 Dy 0.000 0.000 0.500 1
Dy3 Dy 0.500 0.500 0.229 1
Te1 Te 0.000 0.500 0.500 1
As1 As 0.000 0.500 0.000 1
As2 As 0.500 0.000 0.251 1